Entry 1:
This record from the Alexandria database describes a geometry-optimized BeGaH3 structure. The functional is GGA-PBE.

Unit cell a=3.6136 b=3.6136 c=3.6136 alpha=90.00 beta=90.00 gamma=90.00
Sites, in units of the cell vectors:
Be 0.0000 0.0000 0.0000
Ga 0.5000 0.5000 0.5000
H 0.0000 0.5000 0.5000
H 0.5000 0.0000 0.5000
H 0.5000 0.5000 0.0000

## Properties
**Symmetry**: Pm-3m (221)
**E above lowest polymorph**: 705.8 meV/atom

---

Entry 2:
This record from the Alexandria database describes a geometry-optimized BeGaH structure. The functional is GGA-PBE.

Unit cell a=3.2880 b=4.3164 c=5.3354 alpha=108.24 beta=90.07 gamma=112.27
Sites, in units of the cell vectors:
Be 0.1432 0.2872 0.4553
Be 0.8568 0.7128 0.5447
Ga 0.1257 0.2504 0.9132
Ga 0.8743 0.7496 0.0868
H 0.3430 0.6866 0.5410
H 0.6570 0.3134 0.4590

## Properties
**Total DFT energy (no corrections)**: -3.176 eV/atom
**Symmetry**: P-1 (2)

---

Entry 3:
This record from the Alexandria database describes a geometry-optimized BeGa2H6 structure. The functional is GGA-PBE.

Unit cell a=4.5317 b=4.5317 c=4.5317 alpha=60.00 beta=60.00 gamma=60.00
Sites, in units of the cell vectors:
Be 0.0000 0.0000 0.0000
Ga 0.2500 0.2500 0.2500
Ga 0.7500 0.7500 0.7500
H 0.2526 0.2526 0.7474
H 0.2526 0.7474 0.2526
H 0.2526 0.7474 0.7474
H 0.7474 0.2526 0.2526
H 0.7474 0.2526 0.7474
H 0.7474 0.7474 0.2526

## Properties
**Total DFT energy (no corrections)**: -2.821 eV/atom
**Symmetry**: Fm-3m (225)

---

Entry 4:
This record from the Alexandria database describes a geometry-optimized BeGa2H8 structure. The functional is GGA-PBE.

Unit cell a=5.4007 b=5.4007 c=4.2057 alpha=91.88 beta=91.88 gamma=82.48
Sites, in units of the cell vectors:
Be 0.0000 0.0000 0.0000
Ga 0.2149 0.2149 0.6568
Ga 0.7851 0.7851 0.3432
H 0.0603 0.7329 0.1711
H 0.1508 0.1508 0.2907
H 0.2671 0.9397 0.8289
H 0.4007 0.4007 0.7428
H 0.5993 0.5993 0.2572
H 0.7329 0.0603 0.1711
H 0.8492 0.8492 0.7093
H 0.9397 0.2671 0.8289

## Properties
**Total DFT energy (no corrections)**: -3.199 eV/atom
**Symmetry**: C2/m (12)

---

Entry 5:
This record from the Alexandria database describes a geometry-optimized BeGaH3 structure. The functional is GGA-PBE.

Unit cell a=3.4284 b=3.4284 c=3.4284 alpha=90.00 beta=90.00 gamma=90.00
Sites, in units of the cell vectors:
Be 0.0000 0.0000 0.0000
Ga 0.5000 0.5000 0.5000
H 0.0000 0.0000 0.5000
H 0.0000 0.5000 0.0000
H 0.5000 0.0000 0.0000

## Properties
**Symmetry**: Pm-3m (221)
**E above lowest polymorph**: 265.2 meV/atom

---

Entry 6:
This record from the Alexandria database describes a geometry-optimized Be2GaH6 structure. The functional is GGA-PBE.

Unit cell a=4.3270 b=4.3270 c=4.3270 alpha=60.00 beta=60.00 gamma=60.00
Sites, in units of the cell vectors:
Be 0.2500 0.2500 0.2500
Be 0.7500 0.7500 0.7500
Ga 0.0000 0.0000 0.0000
H 0.2873 0.2873 0.7127
H 0.2873 0.7127 0.2873
H 0.2873 0.7127 0.7127
H 0.7127 0.2873 0.2873
H 0.7127 0.2873 0.7127
H 0.7127 0.7127 0.2873

## Properties
**Symmetry**: Fm-3m (225)
**E above lowest polymorph**: 681.0 meV/atom

---

Entry 7:
This record from the Alexandria database describes a geometry-optimized BeGaH2 structure. The functional is GGA-PBE.

Unit cell a=3.6045 b=3.6045 c=3.6045 alpha=60.00 beta=60.00 gamma=60.00
Sites, in units of the cell vectors:
Be 0.0000 0.0000 0.0000
Ga 0.5000 0.5000 0.5000
H 0.2500 0.2500 0.2500
H 0.7500 0.7500 0.7500

## Properties
**Symmetry**: Fm-3m (225)
**E above lowest polymorph**: 477.6 meV/atom

---

Entry 8:
This record from the Alexandria database describes a geometry-optimized BeGaH2 structure. The functional is GGA-PBE.

Unit cell a=5.0656 b=5.0656 c=5.0656 alpha=127.85 beta=127.85 gamma=76.87
Sites, in units of the cell vectors:
Be 0.0000 0.0000 0.0000
Be 0.7500 0.2500 0.5000
Ga 0.2500 0.7500 0.5000
Ga 0.5000 0.5000 0.0000
H 0.3750 0.1294 0.2544
H 0.8706 0.1250 0.2456
H 0.8750 0.1206 0.7456
H 0.8794 0.6250 0.7544

## Properties
**Symmetry**: I-42d (122)
**E above lowest polymorph**: 0.0 meV/atom

---

Entry 9:
This record from the Alexandria database describes a geometry-optimized KBeGaH6 structure. The functional is GGA-PBE.

Unit cell a=4.4298 b=4.4298 c=5.7368 alpha=90.00 beta=90.00 gamma=120.00
Sites, in units of the cell vectors:
K 0.0000 0.0000 0.0000
Be 0.6667 0.3333 0.5000
Ga 0.3333 0.6667 0.5000
H 0.3745 0.0216 0.3353
H 0.3745 0.3529 0.6647
H 0.6471 0.0216 0.6647
H 0.6471 0.6255 0.3353
H 0.9784 0.3529 0.3353
H 0.9784 0.6255 0.6647

## Properties
**Total DFT energy (no corrections)**: -3.069 eV/atom
**Symmetry**: P312 (149)

---

Entry 10:
This record from the Alexandria database describes a geometry-optimized Mn2BeGaH structure. The functional is GGA-PBE.

Unit cell a=3.7038 b=3.7038 c=3.5642 alpha=90.00 beta=90.00 gamma=90.00
Sites, in units of the cell vectors:
Mn 0.0000 0.5000 0.0000
Mn 0.5000 0.0000 0.0000
Be 0.0000 0.0000 0.5000
Ga 0.5000 0.5000 0.5000
H 0.0000 0.0000 0.0000

## Properties
**Total DFT energy (no corrections)**: -5.768 eV/atom
**Symmetry**: P4/mmm (123)

---

Entry 11:
This record from the Alexandria database describes a geometry-optimized BeNb2GaH structure. The functional is GGA-PBE.

Unit cell a=4.0733 b=4.0733 c=3.8222 alpha=90.00 beta=90.00 gamma=90.00
Sites, in units of the cell vectors:
Be 0.0000 0.0000 0.0000
Nb 0.0000 0.5000 0.5000
Nb 0.5000 0.0000 0.5000
Ga 0.5000 0.5000 0.0000
H 0.0000 0.0000 0.5000

## Properties
**Total DFT energy (no corrections)**: -6.114 eV/atom
**Symmetry**: P4/mmm (123)

---

Entry 12:
This record from the Alexandria database describes a geometry-optimized BeGaNi2H structure. The functional is GGA-PBE.

Unit cell a=3.6434 b=3.6434 c=3.4441 alpha=90.00 beta=90.00 gamma=90.00
Sites, in units of the cell vectors:
Be 0.0000 0.0000 0.0000
Ga 0.5000 0.5000 0.0000
Ni 0.0000 0.5000 0.5000
Ni 0.5000 0.0000 0.5000
H 0.0000 0.0000 0.5000

## Properties
**Total DFT energy (no corrections)**: -4.541 eV/atom
**Symmetry**: P4/mmm (123)

---

Entry 13:
This record from the Alexandria database describes a geometry-optimized BeGa2HOs structure. The functional is GGA-PBE.

Unit cell a=4.7587 b=4.7587 c=2.7429 alpha=90.00 beta=90.00 gamma=90.00
Sites, in units of the cell vectors:
Be 0.0000 0.0000 0.0000
Ga 0.0000 0.5000 0.0000
Ga 0.5000 0.0000 0.0000
H 0.0000 0.0000 0.5000
Os 0.5000 0.5000 0.5000

## Properties
**Total DFT energy (no corrections)**: -4.340 eV/atom
**Symmetry**: P4/mmm (123)

---

Entry 14:
This record from the Alexandria database describes a geometry-optimized BeGaHPb2 structure. The functional is GGA-PBE.

Unit cell a=5.5327 b=5.5327 c=4.1715 alpha=90.00 beta=90.00 gamma=90.00
Sites, in units of the cell vectors:
Be 0.0000 0.0000 0.0000
Ga 0.0000 0.0000 0.5000
H 0.5000 0.5000 0.0000
Pb 0.0000 0.5000 0.5000
Pb 0.5000 0.0000 0.5000

## Properties
**Total DFT energy (no corrections)**: -2.671 eV/atom
**Symmetry**: P4/mmm (123)

---

Entry 15:
This record from the Alexandria database describes a geometry-optimized BeGaHRh2 structure. The functional is GGA-PBE.

Unit cell a=4.0222 b=4.0222 c=3.2636 alpha=90.00 beta=90.00 gamma=90.00
Sites, in units of the cell vectors:
Be 0.0000 0.0000 0.0000
Ga 0.5000 0.5000 0.0000
H 0.0000 0.0000 0.5000
Rh 0.0000 0.5000 0.5000
Rh 0.5000 0.0000 0.5000

## Properties
**Total DFT energy (no corrections)**: -5.379 eV/atom
**Symmetry**: P4/mmm (123)

---

Entry 16:
This record from the Alexandria database describes a geometry-optimized BeGa2SbH structure. The functional is GGA-PBE.

Unit cell a=5.0607 b=5.0607 c=3.1795 alpha=90.00 beta=90.00 gamma=90.00
Sites, in units of the cell vectors:
Be 0.0000 0.0000 0.0000
Ga 0.0000 0.5000 0.0000
Ga 0.5000 0.0000 0.0000
Sb 0.5000 0.5000 0.5000
H 0.0000 0.0000 0.5000

## Properties
**Total DFT energy (no corrections)**: -3.135 eV/atom
**Symmetry**: P4/mmm (123)

---

Entry 17:
This record from the Alexandria database describes a geometry-optimized BeGaSi2H structure. The functional is GGA-PBE.

Unit cell a=4.2313 b=4.2313 c=4.5659 alpha=90.00 beta=90.00 gamma=90.00
Sites, in units of the cell vectors:
Be 0.0000 0.0000 0.0000
Ga 0.0000 0.0000 0.5000
Si 0.0000 0.5000 0.0000
Si 0.5000 0.0000 0.0000
H 0.5000 0.5000 0.5000

## Properties
**Total DFT energy (no corrections)**: -3.251 eV/atom
**Symmetry**: P4/mmm (123)

---

Entry 18:
This record from the Alexandria database describes a geometry-optimized BeGaTc2H structure. The functional is GGA-PBE.

Unit cell a=4.6207 b=4.6207 c=2.7409 alpha=90.00 beta=90.00 gamma=90.00
Sites, in units of the cell vectors:
Be 0.0000 0.0000 0.0000
Ga 0.5000 0.5000 0.5000
Tc 0.0000 0.5000 0.0000
Tc 0.5000 0.0000 0.0000
H 0.0000 0.0000 0.5000

## Properties
**Symmetry**: P4/mmm (123)
**E above lowest polymorph**: 591.6 meV/atom

---

Entry 19:
This record from the Alexandria database describes a geometry-optimized BeGaTc2H structure. The functional is GGA-PBE.

Unit cell a=4.0941 b=4.0941 c=3.2242 alpha=90.00 beta=90.00 gamma=90.00
Sites, in units of the cell vectors:
Be 0.0000 0.0000 0.0000
Ga 0.5000 0.5000 0.0000
Tc 0.0000 0.5000 0.5000
Tc 0.5000 0.0000 0.5000
H 0.0000 0.0000 0.5000

## Properties
**Symmetry**: P4/mmm (123)
**E above lowest polymorph**: 0.0 meV/atom

---

Entry 20:
This record from the Alexandria database describes a geometry-optimized Zr2BeGaH structure. The functional is GGA-PBE.

Unit cell a=4.3090 b=4.3090 c=3.8423 alpha=90.00 beta=90.00 gamma=90.00
Sites, in units of the cell vectors:
Zr 0.0000 0.5000 0.0000
Zr 0.5000 0.0000 0.0000
Be 0.0000 0.0000 0.5000
Ga 0.5000 0.5000 0.5000
H 0.0000 0.0000 0.0000

## Properties
**Total DFT energy (no corrections)**: -5.719 eV/atom
**Symmetry**: P4/mmm (123)

---

Entry 21:
This record from the Alexandria database describes a geometry-optimized HfBeGa2 structure. The functional is GGA-PBE.

Unit cell a=5.2248 b=5.2248 c=5.2248 alpha=43.97 beta=43.97 gamma=43.97
Sites, in units of the cell vectors:
Hf 0.0000 0.0000 0.0000
Be 0.5000 0.5000 0.5000
Ga 0.2194 0.2194 0.2194
Ga 0.7806 0.7806 0.7806

## Properties
**Total DFT energy (no corrections)**: -5.080 eV/atom
**Symmetry**: R-3m (166)

---

Entry 22:
This record from the Alexandria database describes a geometry-optimized HfBeGa3 structure. The functional is GGA-PBE.

Unit cell a=5.2039 b=5.2039 c=5.2039 alpha=90.00 beta=90.00 gamma=90.00
Sites, in units of the cell vectors:
Hf 0.0000 0.0000 0.0000
Be 0.5000 0.5000 0.5000
Ga 0.0000 0.0000 0.5000
Ga 0.0000 0.5000 0.0000
Ga 0.5000 0.0000 0.0000

## Properties
**Symmetry**: Pm-3m (221)
**E above lowest polymorph**: 827.3 meV/atom

---

Entry 23:
This record from the Alexandria database describes a geometry-optimized Hf3Be2Ga3 structure. The functional is GGA-PBE.

Unit cell a=5.2541 b=5.2541 c=13.4533 alpha=90.00 beta=90.00 gamma=136.94
Sites, in units of the cell vectors:
Hf 0.0725 0.9275 0.6146
Hf 0.0725 0.9275 0.8854
Hf 0.3595 0.6405 0.7500
Hf 0.6405 0.3595 0.2500
Hf 0.9275 0.0725 0.1146
Hf 0.9275 0.0725 0.3854
Be 0.2137 0.7863 0.1087
Be 0.2137 0.7863 0.3913
Be 0.7863 0.2137 0.6087
Be 0.7863 0.2137 0.8913
Ga 0.3532 0.6468 0.2500
Ga 0.3710 0.6290 0.5386
Ga 0.3710 0.6290 0.9614
Ga 0.6290 0.3710 0.0386
Ga 0.6290 0.3710 0.4614
Ga 0.6468 0.3532 0.7500

## Properties
**Total DFT energy (no corrections)**: -6.236 eV/atom
**Symmetry**: Cmcm (63)

---

Entry 24:
This record from the Alexandria database describes a geometry-optimized HfBeGa2 structure. The functional is GGA-PBE.

Unit cell a=5.5986 b=5.5986 c=5.5986 alpha=103.03 beta=103.03 gamma=123.30
Sites, in units of the cell vectors:
Hf 0.0000 0.0000 0.0000
Hf 0.7500 0.2500 0.5000
Be 0.2500 0.7500 0.5000
Be 0.5000 0.5000 0.0000
Ga 0.1825 0.6250 0.0575
Ga 0.3750 0.4325 0.5575
Ga 0.5675 0.1250 0.9425
Ga 0.8750 0.8175 0.4425

## Properties
**Total DFT energy (no corrections)**: -5.000 eV/atom
**Symmetry**: I-42d (122)

---

Entry 25:
This record from the Alexandria database describes a geometry-optimized HfBe2Ga structure. The functional is GGA-PBE.

Unit cell a=3.8542 b=3.8542 c=3.6897 alpha=90.00 beta=90.00 gamma=90.00
Sites, in units of the cell vectors:
Hf 0.0000 0.0000 0.0000
Be 0.0000 0.5000 0.5000
Be 0.5000 0.0000 0.5000
Ga 0.5000 0.5000 0.0000

## Properties
**Total DFT energy (no corrections)**: -5.281 eV/atom
**Symmetry**: P4/mmm (123)

---

Entry 26:
This record from the Alexandria database describes a geometry-optimized HfBeGa structure. The functional is GGA-PBE.

Unit cell a=4.0295 b=4.0295 c=6.3886 alpha=90.00 beta=90.00 gamma=120.00
Sites, in units of the cell vectors:
Hf 0.0000 0.0000 0.0000
Hf 0.0000 0.0000 0.5000
Be 0.3333 0.6667 0.2500
Be 0.6667 0.3333 0.7500
Ga 0.3333 0.6667 0.7500
Ga 0.6667 0.3333 0.2500

## Properties
**Symmetry**: P6_3/mmc (194)
**E above lowest polymorph**: 0.0 meV/atom

---

Entry 27:
This record from the Alexandria database describes a geometry-optimized Hf2BeGa3 structure. The functional is GGA-PBE.

Unit cell a=3.3706 b=4.0679 c=7.0958 alpha=90.00 beta=90.00 gamma=90.00
Sites, in units of the cell vectors:
Hf 0.0000 0.0000 0.0000
Hf 0.0000 0.5000 0.4807
Be 0.5000 0.0000 0.3173
Ga 0.5000 0.0000 0.6364
Ga 0.5000 0.5000 0.1706
Ga 0.5000 0.5000 0.8258

## Properties
**Total DFT energy (no corrections)**: -5.822 eV/atom
**Symmetry**: Pmm2 (25)